Arrangement w

Below is an optimized crystal structure of Cs2Pb3Se4, with properties calculated at the GGA-PBE level.

a = 8.315 Å, b = 9.160 Å, c = 9.160 Å
α = 90.73°, β = 86.26°, γ = 86.26°
Element x y z (fractional)
Pb1 0.919 0.751 0.993
Cs1 0.626 0.458 0.239
Pb2 0.250 0.799 0.201
Se1 0.926 0.991 0.225
Se2 0.565 0.212 0.548
Se3 0.074 0.009 0.775
Pb3 0.750 0.201 0.799
Pb4 0.419 0.993 0.751
Se4 0.574 0.775 0.009
Cs2 0.126 0.239 0.458
Cs3 0.374 0.542 0.761
Se5 0.935 0.452 0.788
Cs4 0.874 0.761 0.542
Se6 0.435 0.788 0.452
Se7 0.065 0.548 0.212
Se8 0.426 0.225 0.991
Pb5 0.581 0.007 0.249
Pb6 0.081 0.249 0.007

Arrangement x

Below is an optimized crystal structure of Cs2Pb3Se4, with properties calculated at the GGA-PBE level.

a = 8.442 Å, b = 8.692 Å, c = 9.412 Å
α = 90.00°, β = 116.65°, γ = 90.00°
Element x y z (fractional)
Se1 0.705 0.750 0.911
Se2 0.304 0.470 0.609
Pb1 0.000 0.000 0.000
Pb2 0.538 0.750 0.576
Se3 0.295 0.250 0.089
Pb3 0.462 0.250 0.424
Cs1 0.398 0.086 0.795
Se4 0.205 0.750 0.911
Se5 0.795 0.250 0.089
Se6 0.804 0.030 0.609
Se7 0.196 0.970 0.391
Pb4 0.038 0.750 0.576
Se8 0.696 0.530 0.391
Cs2 0.602 0.914 0.205
Pb5 0.962 0.250 0.424
Cs3 0.898 0.414 0.795
Pb6 0.500 0.500 0.000
Cs4 0.102 0.586 0.205

Most stable: arrangement w (next structure +0.012 eV/atom)

Arrangement w

Below is an optimized crystal structure of Cs3Pb2Se4, with properties calculated at the GGA-PBE level.

D(E_F), states/eV/f.u.: 2.3

a = 5.544 Å, b = 8.371 Å, c = 10.521 Å
α = 118.28°, β = 90.00°, γ = 109.34°
Element x y z (fractional)
Se1 0.317 0.635 0.887
Se2 0.126 0.251 0.412
Cs1 0.353 0.705 0.254
Cs2 0.647 0.295 0.746
Pb1 0.672 0.345 0.360
Cs3 0.000 0.000 0.000
Pb2 0.328 0.655 0.640
Se3 0.874 0.749 0.588
Se4 0.683 0.365 0.113

Arrangement x

Below is an optimized crystal structure of Cs3Pb2Se4, with properties calculated at the GGA-PBE level.

D(E_F), states/eV/f.u.: 2.7

a = 8.965 Å, b = 9.577 Å, c = 9.577 Å
α = 79.93°, β = 95.51°, γ = 95.51°
Element x y z (fractional)
Se1 0.015 0.292 0.941
Pb1 0.085 0.426 0.183
Se2 0.399 0.389 0.271
Se3 0.101 0.729 0.611
Cs1 0.250 0.377 0.623
Se4 0.515 0.941 0.292
Cs2 0.104 0.003 0.259
Pb2 0.585 0.183 0.426
Se5 0.985 0.708 0.059
Cs3 0.396 0.741 0.997
Cs4 0.896 0.997 0.741
Cs5 0.604 0.259 0.003
Se6 0.899 0.271 0.389
Se7 0.601 0.611 0.729
Pb3 0.915 0.574 0.817
Pb4 0.415 0.817 0.574
Se8 0.485 0.059 0.708
Cs6 0.750 0.623 0.377

Most stable: arrangement x (next structure +0.019 eV/atom)

Arrangement w

Below is an optimized crystal structure of CsPb3Se3, with properties calculated at the GGA-PBE level.

D(E_F), states/eV/f.u.: 0.4

a = 9.117 Å, b = 9.117 Å, c = 9.595 Å
α = 61.64°, β = 61.64°, γ = 60.00°
Element x y z (fractional)
Pb1 0.841 0.562 0.357
Cs1 0.331 0.331 0.007
Pb2 0.760 0.159 0.643
Se1 0.053 0.796 0.702
Se2 0.449 0.053 0.702
Se3 0.204 0.551 0.298
Cs2 0.669 0.669 0.993
Se4 0.947 0.204 0.298
Pb3 0.240 0.841 0.357
Pb4 0.159 0.438 0.643
Pb5 0.562 0.240 0.357
Pb6 0.438 0.760 0.643
Se5 0.796 0.449 0.702
Se6 0.551 0.947 0.298

Arrangement x

Below is an optimized crystal structure of CsPb3Se3, with properties calculated at the GGA-PBE level.

D(E_F), states/eV/f.u.: 5.8

a = 8.440 Å, b = 8.440 Å, c = 8.440 Å
α = 90.00°, β = 90.00°, γ = 90.00°
Element x y z (fractional)
Pb1 0.750 0.000 0.500
Cs1 0.500 0.500 0.500
Se1 0.250 0.500 0.000
Se2 0.000 0.750 0.500
Pb2 0.000 0.500 0.750
Se3 0.000 0.250 0.500
Se4 0.500 0.000 0.750
Cs2 0.000 0.000 0.000
Pb3 0.250 0.000 0.500
Se5 0.500 0.000 0.250
Pb4 0.000 0.500 0.250
Pb5 0.500 0.750 0.000
Se6 0.750 0.500 0.000
Pb6 0.500 0.250 0.000

Most stable: arrangement w (next structure +0.079 eV/atom)